# PBE Rb2CaCl4, relaxed
data_Rb2CaCl4
_space_group_name_H-M_alt 'P 1'
_space_group_IT_number 1
_cell_length_a 4.367
_cell_length_b 8.084
_cell_length_c 13.385
_cell_angle_alpha 90.00
_cell_angle_beta 90.00
_cell_angle_gamma 90.00
loop_
_space_group_symop_operation_xyz
'x,y,z'
loop_
_atom_site_label
_atom_site_fract_x
_atom_site_fract_y
_atom_site_fract_z
_atom_site_occupancy
Ca1 0.000 0.000 0.500 1
Ca2 0.000 0.500 0.000 1
Rb1 0.500 0.927 0.822 1
Rb2 0.500 0.073 0.178 1
Rb3 0.500 0.427 0.678 1
Rb4 0.500 0.573 0.322 1
Cl1 0.000 0.629 0.813 1
Cl2 0.000 0.371 0.187 1
Cl3 0.000 0.129 0.687 1
Cl4 0.000 0.871 0.313 1
Cl5 0.500 0.788 0.547 1
Cl6 0.500 0.212 0.453 1
Cl7 0.500 0.712 0.047 1
Cl8 0.500 0.288 0.953 1
# space-group type: Pbam

# PBE RbCa6Cl12, relaxed
data_RbCa6Cl12
_space_group_name_H-M_alt 'P 1'
_space_group_IT_number 1
_cell_length_a 8.654
_cell_length_b 8.654
_cell_length_c 8.654
_cell_angle_alpha 107.11
_cell_angle_beta 107.11
_cell_angle_gamma 107.11
loop_
_space_group_symop_operation_xyz
'x,y,z'
loop_
_atom_site_label
_atom_site_fract_x
_atom_site_fract_y
_atom_site_fract_z
_atom_site_occupancy
Rb1 0.000 0.000 0.000 1
Ca1 0.195 0.273 0.610 1
Ca2 0.727 0.390 0.805 1
Ca3 0.390 0.805 0.727 1
Ca4 0.805 0.727 0.390 1
Ca5 0.273 0.610 0.195 1
Ca6 0.610 0.195 0.273 1
Cl1 0.423 0.167 0.483 1
Cl2 0.167 0.483 0.423 1
Cl3 0.483 0.423 0.167 1
Cl4 0.577 0.833 0.517 1
Cl5 0.833 0.517 0.577 1
Cl6 0.517 0.577 0.833 1
Cl7 0.143 0.955 0.662 1
Cl8 0.338 0.857 0.045 1
Cl9 0.045 0.338 0.857 1
Cl10 0.857 0.045 0.338 1
Cl11 0.662 0.143 0.955 1
Cl12 0.955 0.662 0.143 1
# space-group type: R-3

# PBE Rb4CaCl6, relaxed
data_Rb4CaCl6
_space_group_name_H-M_alt 'P 1'
_space_group_IT_number 1
_cell_length_a 9.111
_cell_length_b 9.111
_cell_length_c 9.111
_cell_angle_alpha 90.61
_cell_angle_beta 90.61
_cell_angle_gamma 89.39
loop_
_space_group_symop_operation_xyz
'x,y,z'
loop_
_atom_site_label
_atom_site_fract_x
_atom_site_fract_y
_atom_site_fract_z
_atom_site_occupancy
Rb1 0.380 0.120 0.250 1
Rb2 0.880 0.250 0.380 1
Rb3 0.250 0.620 0.120 1
Rb4 0.250 0.250 0.750 1
Rb5 0.750 0.750 0.250 1
Rb6 0.750 0.380 0.880 1
Rb7 0.120 0.750 0.620 1
Rb8 0.620 0.880 0.750 1
Ca1 0.500 0.500 0.500 1
Ca2 0.000 0.000 0.000 1
Cl1 0.712 0.059 0.072 1
Cl2 0.072 0.288 0.059 1
Cl3 0.572 0.441 0.212 1
Cl4 0.941 0.072 0.712 1
Cl5 0.559 0.212 0.572 1
Cl6 0.212 0.428 0.441 1
Cl7 0.788 0.572 0.559 1
Cl8 0.441 0.788 0.428 1
Cl9 0.059 0.928 0.288 1
Cl10 0.428 0.559 0.788 1
Cl11 0.928 0.712 0.941 1
Cl12 0.288 0.941 0.928 1
# space-group type: R-3c

# PBE Rb2CaCl7, relaxed
data_Rb2CaCl7
_space_group_name_H-M_alt 'P 1'
_space_group_IT_number 1
_cell_length_a 8.294
_cell_length_b 8.294
_cell_length_c 7.421
_cell_angle_alpha 56.03
_cell_angle_beta 56.03
_cell_angle_gamma 90.00
loop_
_space_group_symop_operation_xyz
'x,y,z'
loop_
_atom_site_label
_atom_site_fract_x
_atom_site_fract_y
_atom_site_fract_z
_atom_site_occupancy
Ca1 0.000 0.000 0.000 1
Rb1 0.750 0.250 0.500 1
Rb2 0.250 0.750 0.500 1
Cl1 0.500 0.500 0.000 1
Cl2 0.269 0.269 0.462 1
Cl3 0.731 0.731 0.538 1
Cl4 0.230 0.230 0.000 1
Cl5 0.770 0.770 0.000 1
Cl6 0.770 0.230 0.000 1
Cl7 0.230 0.770 0.000 1
# space-group type: I4/mmm

# PBE Rb4CaCl5, relaxed
data_Rb4CaCl5
_space_group_name_H-M_alt 'P 1'
_space_group_IT_number 1
_cell_length_a 6.545
_cell_length_b 8.405
_cell_length_c 8.405
_cell_angle_alpha 81.28
_cell_angle_beta 67.09
_cell_angle_gamma 67.09
loop_
_space_group_symop_operation_xyz
'x,y,z'
loop_
_atom_site_label
_atom_site_fract_x
_atom_site_fract_y
_atom_site_fract_z
_atom_site_occupancy
Rb1 0.392 0.411 0.809 1
Rb2 0.803 0.809 0.589 1
Rb3 0.200 0.191 0.411 1
Rb4 0.611 0.589 0.191 1
Ca1 0.043 0.000 0.000 1
Cl1 0.915 0.320 0.850 1
Cl2 0.235 0.850 0.680 1
Cl3 0.765 0.150 0.320 1
Cl4 0.085 0.680 0.150 1
Cl5 0.462 0.000 0.000 1
# space-group type: I4

# PBE Rb2CaCl4, relaxed
data_Rb2CaCl4
_space_group_name_H-M_alt 'P 1'
_space_group_IT_number 1
_cell_length_a 8.141
_cell_length_b 7.927
_cell_length_c 9.092
_cell_angle_alpha 90.00
_cell_angle_beta 107.88
_cell_angle_gamma 90.00
loop_
_space_group_symop_operation_xyz
'x,y,z'
loop_
_atom_site_label
_atom_site_fract_x
_atom_site_fract_y
_atom_site_fract_z
_atom_site_occupancy
Rb1 0.679 0.750 0.050 1
Rb2 0.321 0.250 0.950 1
Rb3 0.263 0.250 0.449 1
Rb4 0.737 0.750 0.551 1
Ca1 0.219 0.750 0.188 1
Ca2 0.781 0.250 0.812 1
Cl1 0.456 0.512 0.246 1
Cl2 0.014 0.750 0.905 1
Cl3 0.986 0.250 0.095 1
Cl4 0.456 0.988 0.246 1
Cl5 0.978 0.250 0.637 1
Cl6 0.544 0.012 0.754 1
Cl7 0.544 0.488 0.754 1
Cl8 0.022 0.750 0.363 1
# space-group type: P2_1/m

# PBE Rb2CaCl, relaxed
data_Rb2CaCl
_space_group_name_H-M_alt 'P 1'
_space_group_IT_number 1
_cell_length_a 10.077
_cell_length_b 10.077
_cell_length_c 8.547
_cell_angle_alpha 53.88
_cell_angle_beta 53.88
_cell_angle_gamma 90.00
loop_
_space_group_symop_operation_xyz
'x,y,z'
loop_
_atom_site_label
_atom_site_fract_x
_atom_site_fract_y
_atom_site_fract_z
_atom_site_occupancy
Ca1 0.000 0.000 0.000 1
Ca2 0.750 0.250 0.500 1
Rb1 0.526 0.125 0.250 1
Rb2 0.224 0.625 0.250 1
Rb3 0.375 0.474 0.750 1
Rb4 0.875 0.776 0.750 1
Cl1 0.500 0.500 0.000 1
Cl2 0.250 0.750 0.500 1
# energy above the most stable polymorph in this dataset: 0 meV per atom
# space-group type: I-42d

# PBE RbCaCl, relaxed
data_RbCaCl
_space_group_name_H-M_alt 'P 1'
_space_group_IT_number 1
_cell_length_a 4.132
_cell_length_b 4.127
_cell_length_c 16.397
_cell_angle_alpha 90.00
_cell_angle_beta 90.00
_cell_angle_gamma 120.04
loop_
_space_group_symop_operation_xyz
'x,y,z'
loop_
_atom_site_label
_atom_site_fract_x
_atom_site_fract_y
_atom_site_fract_z
_atom_site_occupancy
Ca1 0.553 0.105 0.000 1
Ca2 0.334 0.668 0.500 1
Rb1 0.666 0.332 0.272 1
Rb2 0.666 0.332 0.728 1
Cl1 0.224 0.448 0.895 1
Cl2 0.224 0.448 0.105 1
# space-group type: Amm2

# PBE Rb3CaCl6, relaxed
data_Rb3CaCl6
_space_group_name_H-M_alt 'P 1'
_space_group_IT_number 1
_cell_length_a 8.216
_cell_length_b 8.216
_cell_length_c 8.216
_cell_angle_alpha 60.00
_cell_angle_beta 60.00
_cell_angle_gamma 90.00
loop_
_space_group_symop_operation_xyz
'x,y,z'
loop_
_atom_site_label
_atom_site_fract_x
_atom_site_fract_y
_atom_site_fract_z
_atom_site_occupancy
Ca1 0.500 0.500 0.000 1
Rb1 0.750 0.250 0.500 1
Rb2 0.250 0.750 0.500 1
Rb3 0.000 0.000 0.000 1
Cl1 0.268 0.268 0.464 1
Cl2 0.732 0.732 0.536 1
Cl3 0.268 0.268 0.000 1
Cl4 0.732 0.732 0.000 1
Cl5 0.732 0.268 0.000 1
Cl6 0.268 0.732 0.000 1
# space-group type: Fm-3m

# PBE Rb3Ca2Cl7, relaxed
data_Rb3Ca2Cl7
_space_group_name_H-M_alt 'P 1'
_space_group_IT_number 1
_cell_length_a 14.210
_cell_length_b 14.210
_cell_length_c 14.210
_cell_angle_alpha 158.03
_cell_angle_beta 158.03
_cell_angle_gamma 31.27
loop_
_space_group_symop_operation_xyz
'x,y,z'
loop_
_atom_site_label
_atom_site_fract_x
_atom_site_fract_y
_atom_site_fract_z
_atom_site_occupancy
Ca1 0.100 0.100 0.000 1
Ca2 0.900 0.900 0.000 1
Rb1 0.317 0.317 0.000 1
Rb2 0.683 0.683 0.000 1
Rb3 0.500 0.500 0.000 1
Cl1 0.597 0.097 0.500 1
Cl2 0.403 0.903 0.500 1
Cl3 0.097 0.597 0.500 1
Cl4 0.903 0.403 0.500 1
Cl5 0.199 0.199 0.000 1
Cl6 0.801 0.801 0.000 1
Cl7 0.000 0.000 0.000 1
# space-group type: I4/mmm

# PBE Rb3Ca2Cl6, relaxed
data_Rb3Ca2Cl6
_space_group_name_H-M_alt 'P 1'
_space_group_IT_number 1
_cell_length_a 5.447
_cell_length_b 5.447
_cell_length_c 13.457
_cell_angle_alpha 101.68
_cell_angle_beta 101.68
_cell_angle_gamma 90.00
loop_
_space_group_symop_operation_xyz
'x,y,z'
loop_
_atom_site_label
_atom_site_fract_x
_atom_site_fract_y
_atom_site_fract_z
_atom_site_occupancy
Rb1 0.000 0.000 0.000 1
Rb2 0.820 0.820 0.639 1
Rb3 0.180 0.180 0.361 1
Ca1 0.411 0.411 0.823 1
Ca2 0.589 0.589 0.177 1
Cl1 0.088 0.588 0.176 1
Cl2 0.588 0.088 0.176 1
Cl3 0.912 0.412 0.824 1
Cl4 0.412 0.912 0.824 1
Cl5 0.694 0.694 0.388 1
Cl6 0.306 0.306 0.612 1
# space-group type: I4/mmm

# PBE Rb2CaReCl6, relaxed
data_Rb2CaReCl6
_space_group_name_H-M_alt 'P 1'
_space_group_IT_number 1
_cell_length_a 7.278
_cell_length_b 7.278
_cell_length_c 7.278
_cell_angle_alpha 60.00
_cell_angle_beta 60.00
_cell_angle_gamma 90.00
loop_
_space_group_symop_operation_xyz
'x,y,z'
loop_
_atom_site_label
_atom_site_fract_x
_atom_site_fract_y
_atom_site_fract_z
_atom_site_occupancy
Re1 0.000 0.000 0.000 1
Ca1 0.500 0.500 0.000 1
Rb1 0.750 0.250 0.500 1
Rb2 0.250 0.750 0.500 1
Cl1 0.237 0.237 0.526 1
Cl2 0.763 0.763 0.474 1
Cl3 0.237 0.237 0.000 1
Cl4 0.763 0.763 0.000 1
Cl5 0.763 0.237 0.000 1
Cl6 0.237 0.763 0.000 1
# space-group type: Fm-3m

What size of the total moment values result from the calculations? In sequence: 0.00, 0.00, 0.00, 0.00, 0.03, 0.02, 0.00, 0.09, 0.10, 0.00, 0.09, 0.10 μB/atom.
What formation energy without anion corrections values result from the calculations? In sequence: -15.12, -41.95, -22.94, -12.60, -18.36, -14.49, -2.39, -3.06, -17.42, -26.30, -22.01, -13.73 eV per formula unit.